# 1
# EuGdCdIn

A relaxed structure of EuGdCdIn (PBE, the Alexandria database).

Calculated values
space-group type: No. 216
formation energy: -403 meV per atom

abc: 5.4706 5.4706 5.4706
angles: 60.00 60.00 60.00
Positions (direct):
Eu (0.0000, 0.0000, 0.0000)
Gd (0.5000, 0.5000, 0.5000)
Cd (0.7500, 0.7500, 0.7500)
In (0.2500, 0.2500, 0.2500)

---

# 2
# BaP2IrOs

A relaxed structure of BaP2IrOs (PBE, the Alexandria database).

Calculated values
space-group type: No. 119
formation energy: -788 meV per atom
polymorph energy (0 for the lowest one): 0.0 meV/atom

abc: 6.8882 6.8882 6.8882
angles: 145.89 145.89 49.02
Positions (direct):
Ba (0.0000, 0.0000, 0.0000)
P (0.3471, 0.3471, 0.0000)
P (0.6529, 0.6529, 0.0000)
Ir (0.7500, 0.2500, 0.5000)
Os (0.2500, 0.7500, 0.5000)

---

# 3
# TaCrN

A relaxed structure of TaCrN (PBE, the Alexandria database).

Calculated values
space-group type: No. 123
formation energy from raw total energies: -556 meV per atom

abc: 3.0444 3.0444 3.9032
angles: 90.00 90.00 90.00
Positions (direct):
Ta (0.0000, 0.0000, 0.0000)
Cr (0.5000, 0.5000, 0.5000)
N (0.5000, 0.5000, 0.0000)

---

# 4
# ReHgAs2

A relaxed structure of ReHgAs2 (PBE, the Alexandria database).

Calculated values
space-group type: No. 71
formation energy: 387 meV per atom

abc: 6.4118 6.4118 6.4118
angles: 153.15 134.90 53.27
Positions (direct):
Re (0.0000, 0.0000, 0.0000)
Hg (0.5000, 0.5000, 0.0000)
As (0.1781, 0.6781, 0.5000)
As (0.8219, 0.3219, 0.5000)

---

# 5
# SiW5

A relaxed structure of SiW5 (PBE, the Alexandria database).

Calculated values
space-group type: No. 216
polymorph energy (0 for the lowest one): 573.3 meV/atom
formation energy from raw total energies: 604 meV per atom

abc: 5.2233 5.2233 5.2233
angles: 60.00 60.00 60.00
Positions (direct):
Si (0.0000, 0.0000, 0.0000)
W (0.3749, 0.3749, 0.3749)
W (0.3749, 0.3749, 0.8753)
W (0.3749, 0.8753, 0.3749)
W (0.7500, 0.7500, 0.7500)
W (0.8753, 0.3749, 0.3749)

---

# 6
# Tm6BPb3

A relaxed structure of Tm6BPb3 (PBE, the Alexandria database).

Calculated values
space-group type: No. 12
formation energy: -244 meV per atom

abc: 6.7816 6.7816 7.4002
angles: 104.97 104.97 60.66
Positions (direct):
Tm (0.1502, 0.6514, 0.6357)
Tm (0.3263, 0.3263, 0.1905)
Tm (0.3486, 0.8498, 0.3643)
Tm (0.6514, 0.1502, 0.6357)
Tm (0.6737, 0.6737, 0.8095)
Tm (0.8498, 0.3486, 0.3643)
B (0.5000, 0.5000, 0.5000)
Pb (0.0000, 0.0000, 0.0000)
Pb (0.1839, 0.1839, 0.7405)
Pb (0.8161, 0.8161, 0.2595)

---

# 7
# Th6Te3RuRh2

A relaxed structure of Th6Te3RuRh2 (PBE, the Alexandria database).

Calculated values
space-group type: No. 12
formation energy from raw total energies: -998 meV per atom

abc: 7.2415 7.2415 8.0772
angles: 98.59 98.59 119.99
Positions (direct):
Th (0.0672, 0.3959, 0.2014)
Th (0.2614, 0.2614, 0.7982)
Th (0.3959, 0.0672, 0.2014)
Th (0.6041, 0.9328, 0.7986)
Th (0.7386, 0.7386, 0.2018)
Th (0.9328, 0.6041, 0.7986)
Te (0.1673, 0.8327, 0.5000)
Te (0.5000, 0.5000, 0.5000)
Te (0.8327, 0.1673, 0.5000)
Ru (0.0000, 0.0000, 0.0000)
Rh (0.3334, 0.6666, 0.0000)
Rh (0.6666, 0.3334, 0.0000)

---

# 8
# CeThH

A relaxed structure of CeThH (PBE, the Alexandria database).

Calculated values
space-group type: No. 107
polymorph energy (0 for the lowest one): 160.2 meV/atom

abc: 6.1950 6.1950 6.1950
angles: 148.12 148.12 45.71
Positions (direct):
Ce (0.0000, 0.0000, 0.0000)
Th (0.7353, 0.7353, 0.0000)
H (0.2035, 0.2035, 0.0000)